Entry 1:
The following is a DFT calculation (PBE-GGA) of an optimized crystal structure of CoHg2H.

Output
The calculation puts the calculated density at 12.1 g/cm³. Its total energy is -7.6 eV per formula unit. For the total magnetization, the calculation gives 2.0 μB/f.u. As for the symmetry: Fm-3m.

abc: 6.3287 6.3287 6.3287
angles: 90.00 90.00 90.00
Element x y z (fractional)
Co 0.0000 0.0000 0.0000
Co 0.0000 0.5000 0.5000
Co 0.5000 0.0000 0.5000
Co 0.5000 0.5000 0.0000
Hg 0.2500 0.2500 0.2500
Hg 0.2500 0.2500 0.7500
Hg 0.2500 0.7500 0.2500
Hg 0.2500 0.7500 0.7500
Hg 0.7500 0.2500 0.2500
Hg 0.7500 0.2500 0.7500
Hg 0.7500 0.7500 0.2500
Hg 0.7500 0.7500 0.7500
H 0.0000 0.0000 0.5000
H 0.0000 0.5000 0.0000
H 0.5000 0.0000 0.0000
H 0.5000 0.5000 0.5000

Entry 2:
The following is a DFT calculation (PBE-GGA) of an optimized crystal structure of Co3HgH.

Output
The calculation puts the calculated density at 11.5 g/cm³. Its total energy is -23.6 eV per formula unit. For the total magnetization, the calculation gives 4.0 μB/f.u. As for the symmetry: Pm-3m.

abc: 3.7919 3.7919 3.7919
angles: 90.00 90.00 90.00
Element x y z (fractional)
Co 0.0000 0.0000 0.5000
Co 0.0000 0.5000 0.0000
Co 0.5000 0.0000 0.0000
Hg 0.5000 0.5000 0.5000
H 0.0000 0.0000 0.0000

Entry 3:
The following is a DFT calculation (PBE-GGA) of an optimized crystal structure of CoHg2H.

Output
The calculation puts the calculated density at 12.4 g/cm³. Its total energy is -8.2 eV per formula unit. For the total magnetization, the calculation gives 1.5 μB/f.u. As for the symmetry: I-42d.

abc: 6.4861 6.4861 5.8570
angles: 90.00 90.00 90.00
Element x y z (fractional)
Co 0.0000 0.0000 0.0000
Co 0.0000 0.5000 0.2500
Co 0.5000 0.0000 0.7500
Co 0.5000 0.5000 0.5000
Hg 0.1901 0.2500 0.6250
Hg 0.2500 0.6901 0.8750
Hg 0.2500 0.8099 0.3750
Hg 0.3099 0.2500 0.1250
Hg 0.6901 0.7500 0.1250
Hg 0.7500 0.1901 0.3750
Hg 0.7500 0.3099 0.8750
Hg 0.8099 0.7500 0.6250
H 0.0000 0.0000 0.5000
H 0.0000 0.5000 0.7500
H 0.5000 0.0000 0.2500
H 0.5000 0.5000 0.0000